# 1
LaPmTm2Th, relaxed, DFT PBE-GGA; N(E_F) = 16.031 states/eV per cell; energy = -0.189 hartree per atom; symmetry = No. 11
1.0
6.320 0.000 0.000
0.000 5.768 0.000
-3.135 0.000 9.106
La Pm Tm Th
2 2 4 2
Direct
0.244 0.250 0.188
0.756 0.750 0.812
0.467 0.250 0.604
0.533 0.750 0.396
0.128 0.750 0.593
0.340 0.750 0.993
0.660 0.250 0.007
0.872 0.250 0.407
0.087 0.250 0.796
0.913 0.750 0.204

***

# 2
LaPmTm5Th2, relaxed, DFT PBE-GGA; N(E_F) = 25.077 states/eV per cell; energy = -0.180 hartree per atom; symmetry = No. 140
1.0
-4.452 4.452 7.538
4.452 -4.452 7.538
4.452 4.452 -7.538
La Pm Tm Th
2 2 10 4
Direct
0.250 0.250 0.000
0.750 0.750 0.000
0.250 0.750 0.500
0.750 0.250 0.500
0.000 0.000 0.000
0.070 0.570 0.911
0.159 0.070 0.500
0.341 0.841 0.911
0.430 0.341 0.500
0.500 0.500 0.000
0.570 0.659 0.500
0.659 0.159 0.089
0.841 0.930 0.500
0.930 0.430 0.089
0.118 0.382 0.500
0.382 0.882 0.263
0.618 0.118 0.737
0.882 0.618 0.500

***

# 3
LaPm6Tm2Th, relaxed, DFT PBE-GGA; N(E_F) = 26.564 states/eV per cell; energy = -0.180 hartree per atom; symmetry = No. 15
1.0
7.369 -4.994 0.000
7.369 4.994 0.000
-7.305 0.000 9.183
La Pm Tm Th
2 12 4 2
Direct
0.249 0.751 0.750
0.751 0.249 0.250
0.028 0.216 0.581
0.175 0.351 0.427
0.216 0.028 0.081
0.351 0.175 0.927
0.353 0.476 0.298
0.476 0.353 0.798
0.524 0.647 0.202
0.647 0.524 0.702
0.649 0.825 0.073
0.784 0.972 0.919
0.825 0.649 0.573
0.972 0.784 0.419
0.094 0.578 0.918
0.422 0.906 0.582
0.578 0.094 0.418
0.906 0.422 0.082
0.106 0.894 0.250
0.894 0.106 0.750

***

# 4
La3Pm6Tm2Th, relaxed, DFT PBE-GGA; N(E_F) = 18.300 states/eV per cell; energy = -0.182 hartree per atom; symmetry = No. 12
1.0
3.143 -5.441 0.000
3.143 5.441 0.000
-2.093 0.000 11.960
La Pm Tm Th
3 6 2 1
Direct
0.000 0.000 0.000
0.333 0.667 0.000
0.667 0.333 0.000
0.088 0.419 0.257
0.251 0.251 0.743
0.419 0.088 0.257
0.581 0.912 0.743
0.749 0.749 0.257
0.912 0.581 0.743
0.167 0.833 0.500
0.833 0.167 0.500
0.500 0.500 0.500

***

# 5
LaPm2Tm4Th, relaxed, DFT PBE-GGA; N(E_F) = 10.733 states/eV per cell; energy = -0.181 hartree per atom; symmetry = No. 10
1.0
5.117 0.000 0.000
0.000 5.122 0.000
-0.007 0.000 9.846
La Pm Tm Th
1 2 4 1
Direct
0.000 0.000 0.000
0.000 0.000 0.500
0.500 0.500 0.000
0.000 0.500 0.256
0.000 0.500 0.744
0.500 0.000 0.256
0.500 0.000 0.744
0.500 0.500 0.500

***

# 6
LaPm3TmTh, relaxed, DFT PBE-GGA; N(E_F) = 18.795 states/eV per cell; energy = -0.189 hartree per atom; symmetry = No. 11
1.0
8.134 0.000 0.000
0.000 5.126 0.000
-3.290 0.000 9.734
La Pm Tm Th
2 6 2 2
Direct
0.172 0.250 0.293
0.828 0.750 0.707
0.174 0.750 0.545
0.181 0.250 0.795
0.181 0.750 0.045
0.819 0.250 0.955
0.819 0.750 0.205
0.826 0.250 0.455
0.500 0.250 0.628
0.500 0.750 0.372
0.499 0.750 0.877
0.501 0.250 0.123

***

For reference, energy of formation from the pure elements by record: 0.054 0.320 0.091 0.029 0.031 0.036 eV/atom.
For reference, calculated volume by record: 331.95 597.54 675.86 409.11 258.09 405.87 Å³ per cell.